1.
This record from the Alexandria database describes crystalline K2YErO4 at its relaxed geometry. The functional is PBE.

The structure in CIF format:
```
data_K2YErO4
_symmetry_space_group_name_H-M 'P 1'
_symmetry_Int_Tables_number 1
_symmetry_space_group_name_Hall 'P 1'
_cell_length_a 3.467
_cell_length_b 6.006
_cell_length_c 6.570
_cell_angle_alpha 107.75
_cell_angle_beta 90.00
_cell_angle_gamma 90.00
loop_
_atom_site_label
_atom_site_type_symbol
_atom_site_fract_x
_atom_site_fract_y
_atom_site_fract_z
K1 K 0.500 0.000 0.500
K2 K 0.000 0.500 0.500
Y1 Y 0.500 0.500 0.000
Er1 Er 0.000 0.000 0.000
O1 O 0.500 0.225 0.185
O2 O 0.500 0.775 0.815
O3 O 0.000 0.269 0.815
O4 O 0.000 0.731 0.185
```

Summary:
DOS(E_F)	0.00	states/eV/cell
magnetization	0.000	μB/atom
E_form (uncorrected)	-2772	meV/atom

***

2.
This record from the Alexandria database describes crystalline K2ErZnO4 at its relaxed geometry. The functional is PBE.

The structure in CIF format:
```
data_K2ErZnO4
_symmetry_space_group_name_H-M 'P 1'
_symmetry_Int_Tables_number 1
_symmetry_space_group_name_Hall 'P 1'
_cell_length_a 5.915
_cell_length_b 5.557
_cell_length_c 5.557
_cell_angle_alpha 73.54
_cell_angle_beta 57.84
_cell_angle_gamma 57.84
loop_
_atom_site_label
_atom_site_type_symbol
_atom_site_fract_x
_atom_site_fract_y
_atom_site_fract_z
K1 K 0.000 0.500 0.500
K2 K 0.500 0.500 0.500
Er1 Er 0.000 0.000 0.000
Zn1 Zn 0.500 0.000 0.000
O1 O 0.115 0.309 0.000
O2 O 0.885 0.000 0.691
O3 O 0.576 0.000 0.309
O4 O 0.424 0.691 0.000
```

Summary:
DOS(E_F)	4.59	states/eV/cell
magnetization	0.130	μB/atom
E_form (uncorrected)	-1702	meV/atom

***

3.
This record from the Alexandria database describes crystalline K3Er2ZrO6 at its relaxed geometry. The functional is PBE.

The structure in CIF format:
```
data_K3Er2ZrO6
_symmetry_space_group_name_H-M 'P 1'
_symmetry_Int_Tables_number 1
_symmetry_space_group_name_Hall 'P 1'
_cell_length_a 5.886
_cell_length_b 5.886
_cell_length_c 6.542
_cell_angle_alpha 98.63
_cell_angle_beta 98.63
_cell_angle_gamma 120.00
loop_
_atom_site_label
_atom_site_type_symbol
_atom_site_fract_x
_atom_site_fract_y
_atom_site_fract_z
K1 K 0.166 0.834 0.500
K2 K 0.834 0.166 0.500
K3 K 0.500 0.500 0.500
Er1 Er 0.333 0.667 0.000
Er2 Er 0.667 0.333 0.000
Zr1 Zr 0.000 0.000 0.000
O1 O 0.939 0.616 0.816
O2 O 0.739 0.739 0.184
O3 O 0.061 0.384 0.184
O4 O 0.616 0.939 0.816
O5 O 0.261 0.261 0.816
O6 O 0.384 0.061 0.184
```

Summary:
DOS(E_F)	3.58	states/eV/cell
magnetization	0.000	μB/atom
E_form (uncorrected)	-2626	meV/atom

***

4.
This record from the Alexandria database describes crystalline KEr2Zr2O7 at its relaxed geometry. The functional is PBE.

The structure in CIF format:
```
data_KEr2Zr2O7
_symmetry_space_group_name_H-M 'P 1'
_symmetry_Int_Tables_number 1
_symmetry_space_group_name_Hall 'P 1'
_cell_length_a 4.318
_cell_length_b 4.487
_cell_length_c 9.724
_cell_angle_alpha 103.34
_cell_angle_beta 102.83
_cell_angle_gamma 90.00
loop_
_atom_site_label
_atom_site_type_symbol
_atom_site_fract_x
_atom_site_fract_y
_atom_site_fract_z
K1 K 0.000 0.000 0.000
Er1 Er 0.259 0.759 0.519
Er2 Er 0.741 0.240 0.481
Zr1 Zr 0.391 0.391 0.781
Zr2 Zr 0.609 0.610 0.219
O1 O 0.380 0.880 0.761
O2 O 0.733 0.733 0.466
O3 O 0.130 0.630 0.261
O4 O 0.620 0.120 0.239
O5 O 0.267 0.267 0.533
O6 O 0.870 0.370 0.739
O7 O 0.500 0.500 0.000
```

Summary:
DOS(E_F)	1.93	states/eV/cell
magnetization	0.000	μB/atom
E_form (uncorrected)	-3020	meV/atom

***

5.
This record from the Alexandria database describes crystalline K2ErPaS4 at its relaxed geometry. The functional is PBE.

The structure in CIF format:
```
data_K2ErPaS4
_symmetry_space_group_name_H-M 'P 1'
_symmetry_Int_Tables_number 1
_symmetry_space_group_name_Hall 'P 1'
_cell_length_a 3.990
_cell_length_b 6.994
_cell_length_c 7.778
_cell_angle_alpha 107.06
_cell_angle_beta 90.00
_cell_angle_gamma 90.00
loop_
_atom_site_label
_atom_site_type_symbol
_atom_site_fract_x
_atom_site_fract_y
_atom_site_fract_z
K1 K 0.500 0.000 0.500
K2 K 0.000 0.500 0.500
Er1 Er 0.500 0.500 0.000
Pa1 Pa 0.000 0.000 0.000
S1 S 0.500 0.240 0.207
S2 S 0.500 0.760 0.793
S3 S 0.000 0.267 0.798
S4 S 0.000 0.733 0.202
```

Summary:
DOS(E_F)	6.65	states/eV/cell
magnetization	0.244	μB/atom
E_form (uncorrected)	-1658	meV/atom

***

6.
This record from the Alexandria database describes crystalline KErPaS4 at its relaxed geometry. The functional is PBE.

The structure in CIF format:
```
data_KErPaS4
_symmetry_space_group_name_H-M 'P 1'
_symmetry_Int_Tables_number 1
_symmetry_space_group_name_Hall 'P 1'
_cell_length_a 8.481
_cell_length_b 8.355
_cell_length_c 8.292
_cell_angle_alpha 119.75
_cell_angle_beta 90.00
_cell_angle_gamma 120.50
loop_
_atom_site_label
_atom_site_type_symbol
_atom_site_fract_x
_atom_site_fract_y
_atom_site_fract_z
K1 K 0.882 0.763 0.132
K2 K 0.118 0.237 0.868
Er1 Er 0.500 0.000 0.500
Er2 Er 0.500 0.000 0.000
Pa1 Pa 0.500 0.500 0.500
Pa2 Pa 0.000 0.500 0.500
S1 S 0.733 0.466 0.695
S2 S 0.310 0.040 0.270
S3 S 0.730 0.040 0.270
S4 S 0.733 0.466 0.271
S5 S 0.267 0.534 0.729
S6 S 0.690 0.960 0.730
S7 S 0.270 0.960 0.730
S8 S 0.267 0.534 0.305
```

Summary:
DOS(E_F)	11.23	states/eV/cell
magnetization	0.145	μB/atom
E_form (uncorrected)	-1704	meV/atom

***

7.
This record from the Alexandria database describes crystalline K4Er3PaS8 at its relaxed geometry. The functional is PBE.

The structure in CIF format:
```
data_K4Er3PaS8
_symmetry_space_group_name_H-M 'P 1'
_symmetry_Int_Tables_number 1
_symmetry_space_group_name_Hall 'P 1'
_cell_length_a 8.054
_cell_length_b 8.725
_cell_length_c 8.054
_cell_angle_alpha 117.49
_cell_angle_beta 120.00
_cell_angle_gamma 90.00
loop_
_atom_site_label
_atom_site_type_symbol
_atom_site_fract_x
_atom_site_fract_y
_atom_site_fract_z
K1 K 0.500 0.000 0.000
K2 K 0.500 0.000 0.500
K3 K 0.000 0.000 0.000
K4 K 0.000 0.000 0.500
Er1 Er 0.500 0.500 0.000
Er2 Er 0.500 0.500 0.500
Er3 Er 0.000 0.500 0.500
Pa1 Pa 0.000 0.500 0.000
S1 S 0.235 0.703 0.968
S2 S 0.235 0.703 0.470
S3 S 0.266 0.300 0.533
S4 S 0.732 0.703 0.968
S5 S 0.268 0.297 0.032
S6 S 0.734 0.700 0.467
S7 S 0.765 0.297 0.530
S8 S 0.765 0.297 0.032
```

Summary:
DOS(E_F)	10.04	states/eV/cell
magnetization	0.113	μB/atom
E_form (uncorrected)	-1761	meV/atom

***

8.
This record from the Alexandria database describes crystalline K3ErPa3Se8 at its relaxed geometry. The functional is PBE.

The structure in CIF format:
```
data_K3ErPa3Se8
_symmetry_space_group_name_H-M 'P 1'
_symmetry_Int_Tables_number 1
_symmetry_space_group_name_Hall 'P 1'
_cell_length_a 8.277
_cell_length_b 8.277
_cell_length_c 9.258
_cell_angle_alpha 116.56
_cell_angle_beta 90.00
_cell_angle_gamma 120.00
loop_
_atom_site_label
_atom_site_type_symbol
_atom_site_fract_x
_atom_site_fract_y
_atom_site_fract_z
K1 K 0.000 0.000 0.000
K2 K 0.000 0.500 0.000
K3 K 0.500 0.500 0.000
Er1 Er 0.000 0.000 0.500
Pa1 Pa 0.500 0.000 0.500
Pa2 Pa 0.500 0.500 0.500
Pa3 Pa 0.000 0.500 0.500
Se1 Se 0.263 0.525 0.288
Se2 Se 0.737 0.475 0.712
Se3 Se 0.766 0.533 0.296
Se4 Se 0.234 0.467 0.704
Se5 Se 0.766 0.029 0.296
Se6 Se 0.234 0.971 0.704
Se7 Se 0.263 0.029 0.296
Se8 Se 0.737 0.971 0.704
```

Summary:
DOS(E_F)	18.12	states/eV/cell
magnetization	0.335	μB/atom
E_form (uncorrected)	-1446	meV/atom

***

9.
This record from the Alexandria database describes crystalline K2ErPa2Se6 at its relaxed geometry. The functional is PBE.

The structure in CIF format:
```
data_K2ErPa2Se6
_symmetry_space_group_name_H-M 'P 1'
_symmetry_Int_Tables_number 1
_symmetry_space_group_name_Hall 'P 1'
_cell_length_a 7.159
_cell_length_b 7.159
_cell_length_c 8.277
_cell_angle_alpha 98.19
_cell_angle_beta 98.19
_cell_angle_gamma 119.59
loop_
_atom_site_label
_atom_site_type_symbol
_atom_site_fract_x
_atom_site_fract_y
_atom_site_fract_z
K1 K 0.833 0.167 0.000
K2 K 0.167 0.833 0.000
Er1 Er 0.000 0.000 0.500
Pa1 Pa 0.336 0.664 0.500
Pa2 Pa 0.664 0.336 0.500
Se1 Se 0.740 0.740 0.706
Se2 Se 0.066 0.399 0.702
Se3 Se 0.260 0.260 0.294
Se4 Se 0.399 0.066 0.702
Se5 Se 0.934 0.601 0.298
Se6 Se 0.601 0.934 0.298
```

Summary:
DOS(E_F)	12.18	states/eV/cell
magnetization	0.275	μB/atom
E_form (uncorrected)	-1493	meV/atom

***

10.
This record from the Alexandria database describes crystalline K4ErPa3Se8 at its relaxed geometry. The functional is PBE.

The structure in CIF format:
```
data_K4ErPa3Se8
_symmetry_space_group_name_H-M 'P 1'
_symmetry_Int_Tables_number 1
_symmetry_space_group_name_Hall 'P 1'
_cell_length_a 8.318
_cell_length_b 9.198
_cell_length_c 8.318
_cell_angle_alpha 116.90
_cell_angle_beta 120.00
_cell_angle_gamma 90.00
loop_
_atom_site_label
_atom_site_type_symbol
_atom_site_fract_x
_atom_site_fract_y
_atom_site_fract_z
K1 K 0.500 0.000 0.000
K2 K 0.500 0.000 0.500
K3 K 0.000 0.000 0.000
K4 K 0.000 0.000 0.500
Er1 Er 0.000 0.500 0.000
Pa1 Pa 0.500 0.500 0.000
Pa2 Pa 0.500 0.500 0.500
Pa3 Pa 0.000 0.500 0.500
Se1 Se 0.234 0.710 0.975
Se2 Se 0.234 0.710 0.469
Se3 Se 0.262 0.285 0.523
Se4 Se 0.741 0.710 0.975
Se5 Se 0.259 0.290 0.025
Se6 Se 0.738 0.715 0.477
Se7 Se 0.766 0.290 0.531
Se8 Se 0.766 0.290 0.025
```

Summary:
DOS(E_F)	15.46	states/eV/cell
magnetization	0.369	μB/atom
E_form (uncorrected)	-1412	meV/atom

***

11.
This record from the Alexandria database describes crystalline K3Er2PaSe6 at its relaxed geometry. The functional is PBE.

The structure in CIF format:
```
data_K3Er2PaSe6
_symmetry_space_group_name_H-M 'P 1'
_symmetry_Int_Tables_number 1
_symmetry_space_group_name_Hall 'P 1'
_cell_length_a 7.250
_cell_length_b 7.250
_cell_length_c 8.085
_cell_angle_alpha 98.59
_cell_angle_beta 98.59
_cell_angle_gamma 120.00
loop_
_atom_site_label
_atom_site_type_symbol
_atom_site_fract_x
_atom_site_fract_y
_atom_site_fract_z
K1 K 0.167 0.833 0.500
K2 K 0.833 0.167 0.500
K3 K 0.500 0.500 0.500
Er1 Er 0.333 0.667 0.000
Er2 Er 0.667 0.333 0.000
Pa1 Pa 0.000 0.000 0.000
Se1 Se 0.931 0.595 0.793
Se2 Se 0.733 0.733 0.207
Se3 Se 0.069 0.405 0.207
Se4 Se 0.595 0.931 0.793
Se5 Se 0.267 0.267 0.793
Se6 Se 0.405 0.069 0.207
```

Summary:
DOS(E_F)	7.19	states/eV/cell
magnetization	0.151	μB/atom
E_form (uncorrected)	-1583	meV/atom

***

12.
This record from the Alexandria database describes crystalline K2ErPaSe4 at its relaxed geometry. The functional is PBE.

The structure in CIF format:
```
data_K2ErPaSe4
_symmetry_space_group_name_H-M 'P 1'
_symmetry_Int_Tables_number 1
_symmetry_space_group_name_Hall 'P 1'
_cell_length_a 4.147
_cell_length_b 7.276
_cell_length_c 8.118
_cell_angle_alpha 106.97
_cell_angle_beta 90.00
_cell_angle_gamma 90.00
loop_
_atom_site_label
_atom_site_type_symbol
_atom_site_fract_x
_atom_site_fract_y
_atom_site_fract_z
K1 K 0.500 0.000 0.500
K2 K 0.000 0.500 0.500
Er1 Er 0.500 0.500 0.000
Pa1 Pa 0.000 0.000 0.000
Se1 Se 0.500 0.242 0.211
Se2 Se 0.500 0.758 0.789
Se3 Se 0.000 0.267 0.794
Se4 Se 0.000 0.733 0.206
```

Summary:
DOS(E_F)	7.18	states/eV/cell
magnetization	0.246	μB/atom
E_form (uncorrected)	-1513	meV/atom